# 1
Below is TbY2Th after structural relaxation, with properties calculated at the GGA-PBE level.

**Formation energy**: 0.038 eV per atom
**SG**: R3m (160)
**Crystal system**: trigonal
**ΔE to the lowest computed polymorph**: 0.0144 eV per atom
**Density of states at the Fermi level**: 5.9 states/eV/cell

Unit cell a=3.5792 b=3.5792 c=11.8156 alpha=81.29 beta=81.29 gamma=60.00
Sites, in units of the cell vectors:
Tb 0.6665 0.6665 0.0006
Th 0.5005 0.5005 0.4985
Y 0.0828 0.0828 0.7516
Y 0.2502 0.2502 0.2493

---

# 2
Below is Er3Zr2Cd2 after structural relaxation, with properties calculated at the GGA-PBE level.

**Formation energy**: -0.071 eV per atom
**SG**: Cmmm (65)
**Crystal system**: orthorhombic
**Density of states at the Fermi level**: 6.8 states/eV/cell

Unit cell a=4.9197 b=3.2821 c=11.4535 alpha=90.00 beta=77.60 gamma=90.00
Sites, in units of the cell vectors:
Zr 0.7232 0.5000 0.5535
Cd 0.4266 0.5000 0.1469
Cd 0.5734 0.5000 0.8531
Er 0.0000 0.0000 0.0000
Zr 0.2768 0.5000 0.4465
Er 0.8507 0.0000 0.2986
Er 0.1493 0.0000 0.7014

---

# 3
Below is CaNb3Pt after structural relaxation, with properties calculated at the GGA-PBE level.

**Formation energy**: 0.822 eV per atom
**SG**: Pm-3m (221)
**Crystal system**: cubic
**ΔE to the lowest computed polymorph**: 0.0000 eV per atom
**Density of states at the Fermi level**: 8.7 states/eV/cell

Unit cell a=5.0091 b=5.0091 c=5.0091 alpha=90.00 beta=90.00 gamma=90.00
Sites, in units of the cell vectors:
Nb 0.0000 0.5000 0.0000
Ca 0.5000 0.5000 0.5000
Nb 0.0000 0.0000 0.5000
Pt 0.0000 0.0000 0.0000
Nb 0.5000 0.0000 0.0000

---

# 4
Below is Ho3PN5 after structural relaxation, with properties calculated at the GGA-PBE level.

**SG**: I4/mcm (140)
**Crystal system**: tetragonal
**Density of states at the Fermi level**: 11.3 states/eV/cell
**Raw formation energy**: -1.261 eV per atom

Unit cell a=6.4426 b=6.4426 c=6.9703 alpha=117.53 beta=117.53 gamma=90.00
Sites, in units of the cell vectors:
N 0.2085 0.9881 0.6966
N 0.0000 0.0000 0.0000
N 0.5119 0.2915 0.3034
Ho 0.1802 0.3198 0.0000
Ho 0.3198 0.8198 0.0000
P 0.2500 0.7500 0.5000
N 0.2915 0.7915 0.3034
Ho 0.6802 0.1802 0.0000
Ho 0.8198 0.6802 0.0000
N 0.7915 0.0119 0.3034
N 0.9881 0.4881 0.6966
P 0.7500 0.2500 0.5000
N 0.5000 0.5000 0.0000
N 0.0119 0.5119 0.3034
N 0.7085 0.2085 0.6966
Ho 0.2500 0.2500 0.5000
N 0.4881 0.7085 0.6966
Ho 0.7500 0.7500 0.5000